A geometry-optimized HoZn2Cd9 structure, computed with GGA-PBE.

Values from the calculation:
Crystal system = tetragonal
E_form = -0.04 eV per atom
Density of states at the Fermi level = 8.01 states/eV/cell
Space group = I4_1/amd

a b c (Å): 7.457 9.131 9.131
angles (deg): 80.40 65.90 65.90
Element x y z (fractional)
1 Cd 0.425 0.814 0.428
2 Cd 0.325 0.686 0.072
3 Cd 0.667 0.186 0.572
4 Cd 0.147 0.428 0.186
5 Cd 0.603 0.072 0.314
6 Cd 0.989 0.928 0.686
7 Cd 0.083 0.314 0.928
8 Zn 0.875 0.250 0.250
9 Zn 0.875 0.750 0.250
10 Cd 0.603 0.314 0.072
11 Ho 0.250 0.500 0.500
12 Cd 0.083 0.928 0.314
13 Cd 0.147 0.186 0.428
14 Cd 0.325 0.072 0.686
15 Cd 0.667 0.572 0.186
16 Cd 0.761 0.572 0.814
17 Cd 0.000 0.000 0.000
18 Cd 0.750 0.500 0.500
19 Cd 0.989 0.686 0.928
20 Zn 0.375 0.750 0.750
21 Zn 0.875 0.250 0.750
22 Ho 0.500 0.000 0.000
23 Cd 0.425 0.428 0.814
24 Cd 0.761 0.814 0.572